The following is a GGA-PBE calculation of crystalline AsP2NCl at its relaxed geometry, from Alexandria.

Results
formation energy (no corrections) = 1756 meV per atom
E above lowest polymorph = 0.633 eV per atom
volume = 24.028 Å³ per atom

Cell: 4.7774 4.7774 5.2640 Å, 90.00 90.00 90.00°
Each line ends with the local moment (μB).
Element x y z (fractional)
Cl: 0.0000 0.0000 0.5000  0.08
N: 0.5000 0.5000 0.5000  1.83
P: 0.5000 0.0000 0.0000  0.07
P: 0.0000 0.5000 0.0000  0.07
As: 0.0000 0.0000 0.0000  0.00